Model P:
## Zn4Cu5 (GGA-PBEsol)

Data for an optimized crystal structure of Zn4Cu5.

Lattice parameters (Å, degrees): 7.161 7.161 4.991 90.00 90.00 120.00
Positions (direct):
Zn1 0.000 0.000 0.000
Zn2 0.000 0.000 0.500
Zn3 0.000 0.359 0.250
Zn4 0.000 0.641 0.750
Zn5 0.359 0.000 0.250
Zn6 0.359 0.359 0.750
Zn7 0.641 0.000 0.750
Zn8 0.641 0.641 0.250
Cu1 0.000 0.311 0.750
Cu2 0.000 0.689 0.250
Cu3 0.311 0.000 0.750
Cu4 0.311 0.311 0.250
Cu5 0.333 0.667 0.000
Cu6 0.333 0.667 0.500
Cu7 0.667 0.333 0.000
Cu8 0.667 0.333 0.500
Cu9 0.689 0.000 0.250
Cu10 0.689 0.689 0.750

Computed properties:
The density of states at the Fermi level comes out at 0.228 states/eV/atom. The calculated density comes out at 8.680 Mg/m³.



Model Q:
## Zn4Cu5 (GGA-PBEsol)

Data for an optimized crystal structure of Zn4Cu5.

Lattice parameters (Å, degrees): 5.736 5.736 5.736 96.12 96.12 141.87
Positions (direct):
Zn1 0.000 0.324 0.324
Zn2 0.000 0.676 0.676
Zn3 0.324 0.000 0.324
Zn4 0.676 0.000 0.676
Cu1 0.000 0.000 0.000
Cu2 0.334 0.334 0.669
Cu3 0.334 0.666 0.000
Cu4 0.666 0.334 0.000
Cu5 0.666 0.666 0.331

Computed properties:
The density of states at the Fermi level comes out at 0.285 states/eV/atom. The calculated density comes out at 8.737 Mg/m³.



Energetically preferred structure: model Q | next structure: +0.026 eV/atom



Model P:
## Dy (GGA-PBEsol)

Data for an optimized crystal structure of Dy.

Lattice parameters (Å, degrees): 5.472 5.472 3.385 90.00 90.00 120.00
Positions (direct):
Dy1 0.000 0.000 0.000
Dy2 0.333 0.667 0.500
Dy3 0.667 0.333 0.500

Computed properties:
The density of states at the Fermi level comes out at 1.569 states/eV/atom. The calculated density comes out at 9.221 Mg/m³.



Model Q:
## Dy (GGA-PBEsol)

Data for an optimized crystal structure of Dy.

Lattice parameters (Å, degrees): 3.461 3.461 3.461 60.00 60.00 60.00
Positions (direct):
Dy1 0.000 0.000 0.000

Computed properties:
The density of states at the Fermi level comes out at 1.207 states/eV/atom. The calculated density comes out at 9.203 Mg/m³.



Energetically preferred structure: model Q | next structure: +0.055 eV/atom



Model P:
## Dy (GGA-PBEsol)

Data for an optimized crystal structure of Dy.

Lattice parameters (Å, degrees): 8.602 8.602 8.602 23.41 23.41 23.41
Positions (direct):
Dy1 0.000 0.000 0.000
Dy2 0.222 0.222 0.222
Dy3 0.778 0.778 0.778

Computed properties:
The density of states at the Fermi level comes out at 1.204 states/eV/atom. The calculated density comes out at 9.175 Mg/m³.



Model Q:
## Dy (GGA-PBEsol)

Data for an optimized crystal structure of Dy.

Lattice parameters (Å, degrees): 3.525 3.525 5.533 90.00 90.00 120.00
Positions (direct):
Dy1 0.333 0.667 0.250
Dy2 0.667 0.333 0.750

Computed properties:
The density of states at the Fermi level comes out at 1.681 states/eV/atom. The calculated density comes out at 9.065 Mg/m³.



Energetically preferred structure: model P | next structure: +0.015 eV/atom



Model P:
## Dy2Ge2O7 (GGA-PBEsol)

Data for an optimized crystal structure of Dy2Ge2O7.

Lattice parameters (Å, degrees): 5.735 5.735 4.954 97.31 97.31 105.28
Positions (direct):
Dy1 0.000 0.000 0.000
Dy2 0.611 0.389 0.000
Ge1 0.077 0.463 0.591
Ge2 0.537 0.923 0.409
O1 0.223 0.292 0.788
O2 0.316 0.684 0.500
O3 0.386 0.091 0.212
O4 0.706 0.096 0.725
O5 0.708 0.777 0.212
O6 0.904 0.294 0.275
O7 0.909 0.614 0.788

Computed properties:
The density of states at the Fermi level comes out at 0.000 states/eV/atom. The calculated density comes out at 6.293 Mg/m³.



Model Q:
## Dy2Ge2O7 (GGA-PBEsol)

Data for an optimized crystal structure of Dy2Ge2O7.

Lattice parameters (Å, degrees): 6.789 6.789 12.364 90.00 90.00 90.00
Positions (direct):
Dy1 0.126 0.353 0.115
Dy2 0.147 0.626 0.365
Dy3 0.353 0.126 0.885
Dy4 0.374 0.853 0.135
Dy5 0.626 0.147 0.635
Dy6 0.647 0.874 0.385
Dy7 0.853 0.374 0.865
Dy8 0.874 0.647 0.615
Ge1 0.101 0.152 0.631
Ge2 0.152 0.101 0.369
Ge3 0.348 0.601 0.881
Ge4 0.399 0.652 0.619
Ge5 0.601 0.348 0.119
Ge6 0.652 0.399 0.381
Ge7 0.848 0.899 0.869
Ge8 0.899 0.848 0.131
O1 0.033 0.078 0.872
O2 0.066 0.662 0.179
O3 0.078 0.033 0.128
O4 0.144 0.318 0.294
O5 0.162 0.434 0.929
O6 0.182 0.644 0.544
O7 0.198 0.198 0.500
O8 0.302 0.698 0.750
O9 0.318 0.144 0.706
O10 0.338 0.934 0.321
O11 0.356 0.818 0.956
O12 0.422 0.533 0.122
O13 0.434 0.162 0.071
O14 0.467 0.578 0.378
O15 0.533 0.422 0.878
O16 0.566 0.838 0.571
O17 0.578 0.467 0.622
O18 0.644 0.182 0.456
O19 0.662 0.066 0.821
O20 0.682 0.856 0.206
O21 0.698 0.302 0.250
O22 0.802 0.802 0.000
O23 0.818 0.356 0.044
O24 0.838 0.566 0.429
O25 0.856 0.682 0.794
O26 0.922 0.967 0.628
O27 0.934 0.338 0.679
O28 0.967 0.922 0.372

Computed properties:
The density of states at the Fermi level comes out at 0.000 states/eV/atom. The calculated density comes out at 6.786 Mg/m³.



Model R:
## Dy2Ge2O7 (GGA-PBEsol)

Data for an optimized crystal structure of Dy2Ge2O7.

Lattice parameters (Å, degrees): 4.939 11.002 5.604 90.00 95.38 90.00
Positions (direct):
Dy1 0.107 0.148 0.397
Dy2 0.107 0.352 0.897
Dy3 0.893 0.648 0.103
Dy4 0.893 0.852 0.603
Ge1 0.362 0.620 0.655
Ge2 0.362 0.880 0.155
Ge3 0.638 0.120 0.845
Ge4 0.638 0.380 0.345
O1 0.122 0.694 0.455
O2 0.122 0.806 0.955
O3 0.196 0.550 0.884
O4 0.196 0.950 0.384
O5 0.367 0.210 0.724
O6 0.367 0.290 0.224
O7 0.500 0.000 0.000
O8 0.500 0.500 0.500
O9 0.633 0.710 0.776
O10 0.633 0.790 0.276
O11 0.804 0.050 0.616
O12 0.804 0.450 0.116
O13 0.878 0.194 0.045
O14 0.878 0.306 0.545

Computed properties:
The density of states at the Fermi level comes out at 0.000 states/eV/atom. The calculated density comes out at 6.379 Mg/m³.



Energetically preferred structure: model Q | next structure: +0.019 eV/atom



Model P:
## Dy2Ge2O7 (GGA-PBEsol)

Data for an optimized crystal structure of Dy2Ge2O7.

Lattice parameters (Å, degrees): 13.696 8.204 5.221 90.00 90.00 90.00
Positions (direct):
Dy1 0.124 0.016 0.163
Dy2 0.124 0.484 0.163
Dy3 0.376 0.516 0.663
Dy4 0.376 0.984 0.663
Dy5 0.624 0.016 0.337
Dy6 0.624 0.484 0.337
Dy7 0.876 0.516 0.837
Dy8 0.876 0.984 0.837
Ge1 0.051 0.750 0.628
Ge2 0.187 0.250 0.626
Ge3 0.313 0.750 0.126
Ge4 0.449 0.250 0.128
Ge5 0.551 0.750 0.872
Ge6 0.687 0.250 0.874
Ge7 0.813 0.750 0.374
Ge8 0.949 0.250 0.372
O1 0.050 0.567 0.797
O2 0.050 0.933 0.797
O3 0.081 0.250 0.418
O4 0.110 0.750 0.330
O5 0.155 0.250 0.946
O6 0.238 0.074 0.493
O7 0.238 0.426 0.493
O8 0.262 0.574 0.993
O9 0.262 0.926 0.993
O10 0.345 0.750 0.446
O11 0.390 0.250 0.830
O12 0.419 0.750 0.918
O13 0.450 0.067 0.297
O14 0.450 0.433 0.297
O15 0.550 0.567 0.703
O16 0.550 0.933 0.703
O17 0.581 0.250 0.082
O18 0.610 0.750 0.170
O19 0.655 0.250 0.554
O20 0.738 0.074 0.007
O21 0.738 0.426 0.007
O22 0.762 0.574 0.507
O23 0.762 0.926 0.507
O24 0.845 0.750 0.054
O25 0.890 0.250 0.670
O26 0.919 0.750 0.582
O27 0.950 0.067 0.203
O28 0.950 0.433 0.203

Computed properties:
The density of states at the Fermi level comes out at 0.000 states/eV/atom. The calculated density comes out at 6.593 Mg/m³.



Model Q:
## Dy2Ge2O7 (GGA-PBEsol)

Data for an optimized crystal structure of Dy2Ge2O7.

Lattice parameters (Å, degrees): 6.774 6.815 11.958 94.76 94.03 92.57
Positions (direct):
Dy1 0.072 0.093 0.371
Dy2 0.173 0.691 0.872
Dy3 0.268 0.362 0.625
Dy4 0.332 0.030 0.118
Dy5 0.668 0.970 0.882
Dy6 0.732 0.638 0.375
Dy7 0.827 0.309 0.128
Dy8 0.928 0.907 0.629
Ge1 0.151 0.174 0.889
Ge2 0.233 0.588 0.375
Ge3 0.321 0.506 0.149
Ge4 0.392 0.846 0.608
Ge5 0.608 0.154 0.392
Ge6 0.679 0.494 0.851
Ge7 0.767 0.412 0.625
Ge8 0.849 0.826 0.111
O1 0.021 0.001 0.188
O2 0.054 0.763 0.384
O3 0.103 0.240 0.029
O4 0.126 0.423 0.231
O5 0.171 0.386 0.449
O6 0.220 0.371 0.816
O7 0.222 0.705 0.680
O8 0.234 0.034 0.569
O9 0.267 0.695 0.065
O10 0.340 0.004 0.916
O11 0.389 0.075 0.311
O12 0.430 0.632 0.282
O13 0.437 0.694 0.486
O14 0.485 0.326 0.116
O15 0.515 0.674 0.884
O16 0.563 0.306 0.514
O17 0.570 0.368 0.718
O18 0.611 0.925 0.689
O19 0.660 0.996 0.084
O20 0.733 0.305 0.935
O21 0.766 0.966 0.431
O22 0.778 0.295 0.320
O23 0.780 0.629 0.184
O24 0.829 0.614 0.551
O25 0.874 0.577 0.769
O26 0.897 0.760 0.971
O27 0.946 0.237 0.616
O28 0.979 0.999 0.812

Computed properties:
The density of states at the Fermi level comes out at 0.000 states/eV/atom. The calculated density comes out at 7.058 Mg/m³.



Energetically preferred structure: model Q | next structure: +0.019 eV/atom



Model P:
## Dy2Ge2O7 (GGA-PBEsol)

Data for an optimized crystal structure of Dy2Ge2O7.

Lattice parameters (Å, degrees): 5.311 8.018 7.537 90.00 108.77 90.00
Positions (direct):
Dy1 0.000 0.000 0.000
Dy2 0.000 0.500 0.000
Dy3 0.500 0.000 0.500
Dy4 0.500 0.500 0.500
Ge1 0.034 0.250 0.612
Ge2 0.402 0.750 0.829
Ge3 0.598 0.250 0.171
Ge4 0.966 0.750 0.388
O1 0.038 0.564 0.295
O2 0.038 0.936 0.295
O3 0.166 0.750 0.944
O4 0.273 0.750 0.577
O5 0.325 0.250 0.555
O6 0.416 0.068 0.166
O7 0.416 0.432 0.166
O8 0.584 0.568 0.834
O9 0.584 0.932 0.834
O10 0.675 0.750 0.445
O11 0.727 0.250 0.423
O12 0.834 0.250 0.056
O13 0.962 0.064 0.705
O14 0.962 0.436 0.705

Computed properties:
The density of states at the Fermi level comes out at 0.000 states/eV/atom. The calculated density comes out at 6.364 Mg/m³.



Model Q:
## Dy2Ge2O7 (GGA-PBEsol)

Data for an optimized crystal structure of Dy2Ge2O7.

Lattice parameters (Å, degrees): 7.004 7.004 7.004 60.00 60.00 60.00
Positions (direct):
Dy1 0.000 0.000 0.000
Dy2 0.000 0.000 0.500
Dy3 0.000 0.500 0.000
Dy4 0.500 0.000 0.000
Ge1 0.000 0.500 0.500
Ge2 0.500 0.000 0.500
Ge3 0.500 0.500 0.000
Ge4 0.500 0.500 0.500
O1 0.125 0.125 0.125
O2 0.172 0.172 0.578
O3 0.172 0.578 0.172
O4 0.172 0.578 0.578
O5 0.422 0.422 0.828
O6 0.422 0.828 0.422
O7 0.422 0.828 0.828
O8 0.578 0.172 0.172
O9 0.578 0.172 0.578
O10 0.578 0.578 0.172
O11 0.828 0.422 0.422
O12 0.828 0.422 0.828
O13 0.828 0.828 0.422
O14 0.875 0.875 0.875

Computed properties:
The density of states at the Fermi level comes out at 0.000 states/eV/atom. The calculated density comes out at 7.959 Mg/m³.



Energetically preferred structure: model Q | next structure: +0.116 eV/atom